This record from Alexandria via LeMat-Bulk describes Sr2ThSn3Pd4 after structural relaxation. The functional is PBE.

**Formation energy**: -729 meV/atom
**Mass density**: 7.83 g cm⁻³

Geometry as extended XYZ:
```
10
Lattice="4.7458 0.0000 0.0000 0.0000 4.7458 0.0000 0.0000 0.0000 11.1928" Properties=species:S:1:pos:R:3 pbc="T T T"
Sr 0.0000 2.3729 2.4917
Sr 2.3729 0.0000 8.7011
Th 0.0000 0.0000 5.5964
Sn 0.0000 2.3729 9.8898
Sn 2.3729 0.0000 1.3030
Sn 2.3729 2.3729 5.5964
Pd 0.0000 0.0000 0.0000
Pd 0.0000 2.3729 7.2158
Pd 2.3729 0.0000 3.9770
Pd 2.3729 2.3729 0.0000
```